Entry 1:
ZnReNi | PBE | relaxed

Output
- formation energy from the elements (eV per atom) = 0.060
- final energy (eV per atom) = -6.441

a = 2.6946 Å, b = 2.6946 Å, c = 6.4327 Å
α = 90.00°, β = 90.00°, γ = 120.00°
Space group P3m1 (No. 156)
One atom of each set of equivalent atoms:
1 Zn 0.0000 0.0000 0.0000 (multiplicity 1)
2 Re 0.3333 0.6667 0.6354 (multiplicity 1)
3 Ni 0.6667 0.3333 0.3189 (multiplicity 1)

***

Entry 2:
CeGa4Au2 | PBE | relaxed

Output
- formation energy from the elements (eV per atom) = -0.361
- final energy (eV per atom) = -3.875

a = 8.164 Å, b = 8.164 Å, c = 4.255 Å
α = 90.00°, β = 90.00°, γ = 90.00°
Space group P4_2/mnm (No. 136)
One atom of each set of equivalent atoms:
1 Ce 0.000 0.000 0.000 (multiplicity 2)
2 Ga 0.087 0.338 0.500 (multiplicity 8)
3 Au 0.204 0.796 0.500 (multiplicity 4)

***

Entry 3:
Ba2Zn2Pd | PBE | relaxed

Output
- formation energy from the elements (eV per atom) = -0.377
- final energy (eV per atom) = -2.694

a = 12.225 Å, b = 4.484 Å, c = 12.381 Å
α = 90.00°, β = 114.32°, γ = 90.00°
Space group C2/m (No. 12)
One atom of each set of equivalent atoms:
1 Ba 0.091 0.000 0.389 (multiplicity 4)
2 Ba 0.201 0.500 0.135 (multiplicity 4)
3 Zn 0.036 0.000 0.910 (multiplicity 4)
4 Zn 0.125 0.500 0.632 (multiplicity 4)
5 Pd 0.071 0.500 0.818 (multiplicity 4)

***

Entry 4:
Be4Rh3 | PBE | relaxed

Output
- formation energy from the elements (eV per atom) = 0.172
- final energy (eV per atom) = -5.108

a = 5.0530 Å, b = 5.0530 Å, c = 3.9309 Å
α = 90.00°, β = 90.00°, γ = 120.00°
Space group P6/mmm (No. 191)
One atom of each set of equivalent atoms:
1 Be 0.0000 0.0000 0.2453 (multiplicity 2)
2 Be 0.3333 0.6667 0.5000 (multiplicity 2)
3 Rh 0.0000 0.5000 0.0000 (multiplicity 3)

***

Entry 5:
Pd4SeS3 | PBE | relaxed

Output
- formation energy (no corrections) (eV per atom) = -0.161
- final energy (eV per atom) = -4.741

a = 7.455 Å, b = 6.599 Å, c = 6.270 Å
α = 90.00°, β = 90.00°, γ = 90.00°
Space group Pmn2_1 (No. 31)
One atom of each set of equivalent atoms:
1 Pd 0.000 0.198 0.000 (multiplicity 2)
2 Pd 0.000 0.700 0.377 (multiplicity 2)
3 Pd 0.202 0.316 0.378 (multiplicity 4)
4 Se 0.000 0.856 0.800 (multiplicity 2)
5 S 0.000 0.049 0.332 (multiplicity 2)
6 S 0.210 0.362 0.775 (multiplicity 4)

***

Entry 6:
Er2Tm9Mg | PBE | relaxed

Output
- formation energy from the elements (eV per atom) = 0.026
- final energy (eV per atom) = -4.221

a = 4.908 Å, b = 4.908 Å, c = 14.765 Å
α = 90.00°, β = 90.00°, γ = 90.00°
Space group P4/mmm (No. 123)
One atom of each set of equivalent atoms:
1 Er 0.000 0.000 0.167 (multiplicity 2)
2 Tm 0.000 0.500 0.000 (multiplicity 2)
3 Tm 0.000 0.500 0.335 (multiplicity 4)
4 Tm 0.500 0.500 0.171 (multiplicity 2)
5 Tm 0.500 0.500 0.500 (multiplicity 1)
6 Mg 0.000 0.000 0.500 (multiplicity 1)

***

Question: What is the formula in the sixth record?
Answer: Er2Tm9Mg

***

Question: What is the formula in the third record?
Answer: Ba2Zn2Pd

***

Question: What is the final energy in the fourth record?
Answer: -5.108 eV per atom

***

Question: Number 6 is which compound?
Answer: Er2Tm9Mg